{
  "formula": "RbLa2Fe",
  "functional": "GGA-PBE",
  "state": "optimized geometry",
  "total_magnetization_mub_per_fu": 0.0,
  "formation_energy_ev_per_fu": 1.29,
  "relative_energy_mev_per_atom": 0.0,
  "cell": [[-4.0315, 4.0315, 5.6982], [4.0315, -4.0315, 5.6982], [4.0315, 4.0315, -5.6982]],
  "species": ["Rb", "Rb", "La", "La", "La", "La", "Fe", "Fe"],
  "frac_coords": [[0.0000, 0.0000, 0.0000], [0.7500, 0.2500, 0.5000], [0.3737, 0.1250, 0.7487], [0.3750, 0.6263, 0.7513], [0.3763, 0.6250, 0.2513], [0.8750, 0.6237, 0.2487], [0.2500, 0.7500, 0.5000], [0.5000, 0.5000, 0.0000]]
}